Record 1
The following is a PBE calculation of CsGaP3 after structural relaxation, from Alexandria.

Properties
Mass density, g cm⁻³: 2.76
Formation energy, meV per atom: 1941.0
Distance to the lowest polymorph of the same formula, meV/atom: 1363
Total energy, eV per atom: -2.081

Lattice parameters (Å, degrees): 5.621 5.621 5.621 90.00 90.00 90.00
Element x y z (fractional)
Cs  0.000  0.000  0.000
Ga  0.500  0.500  0.500
P  0.000  0.000  0.500
P  0.000  0.500  0.000
P  0.500  0.000  0.000

Record 2
The following is a PBE calculation of Pm2SbO after structural relaxation, from Alexandria.

Properties
Mass density, g cm⁻³: 8.51
Distance to the lowest polymorph of the same formula, meV/atom: 742
Total energy, eV per atom: -5.930

Lattice parameters (Å, degrees): 3.285 3.285 7.732 90.00 90.00 90.00
Element x y z (fractional)
Pm  0.000  0.000  0.203
Pm  0.000  0.000  0.797
Sb  0.500  0.500  0.500
O  0.500  0.500  0.000

Record 3
The following is a PBE calculation of BaMg2Tl after structural relaxation, from Alexandria.

Properties
Mass density, g cm⁻³: 4.79
Formation energy, meV per atom: 84.8
Distance to the lowest polymorph of the same formula, meV/atom: 271
Total energy, eV per atom: -1.785

Lattice parameters (Å, degrees): 10.563 10.563 10.563 21.22 21.22 21.22
Element x y z (fractional)
Ba  0.000  0.000  0.000
Mg  0.501  0.501  0.501
Mg  0.762  0.762  0.762
Tl  0.238  0.238  0.238

Record 4
The following is a PBE calculation of RbHg2Au after structural relaxation, from Alexandria.

Properties
Mass density, g cm⁻³: 9.32
Formation energy, meV per atom: -245.1
Distance to the lowest polymorph of the same formula, meV/atom: 10
Total energy, eV per atom: -1.457

Lattice parameters (Å, degrees): 6.477 6.477 8.296 90.00 90.00 135.59
Element x y z (fractional)
Rb  0.068  0.932  0.750
Rb  0.932  0.068  0.250
Hg  0.357  0.643  0.557
Hg  0.357  0.643  0.943
Hg  0.643  0.357  0.057
Hg  0.643  0.357  0.443
Au  0.219  0.781  0.250
Au  0.781  0.219  0.750

Record 5
The following is a PBE calculation of Na2TaV2Se6 after structural relaxation, from Alexandria.

Properties
Mass density, g cm⁻³: 5.52
Total energy, eV per atom: -5.712

Lattice parameters (Å, degrees): 6.143 6.143 7.637 96.09 96.09 120.94
Element x y z (fractional)
Na  0.173  0.827  0.000
Na  0.827  0.173  0.000
Ta  0.000  0.000  0.500
V  0.370  0.630  0.500
V  0.630  0.370  0.500
Se  0.050  0.402  0.696
Se  0.272  0.272  0.269
Se  0.402  0.050  0.696
Se  0.598  0.950  0.304
Se  0.728  0.728  0.731
Se  0.950  0.598  0.304

Record 6
The following is a PBE calculation of Er7Ir2Pd2 after structural relaxation, from Alexandria.

Properties
Mass density, g cm⁻³: 10.07
Formation energy, meV per atom: -583.4
Total energy, eV per atom: -6.042

Lattice parameters (Å, degrees): 6.607 6.607 6.867 90.00 90.00 103.40
Element x y z (fractional)
Er  0.000  0.000  0.000
Er  0.000  0.500  0.258
Er  0.000  0.500  0.742
Er  0.500  0.000  0.258
Er  0.500  0.000  0.742
Er  0.500  0.500  0.254
Er  0.500  0.500  0.746
Ir  0.282  0.718  0.000
Ir  0.718  0.282  0.000
Pd  0.212  0.212  0.500
Pd  0.788  0.788  0.500

Record 7
The following is a PBE calculation of TaB2Pt2 after structural relaxation, from Alexandria.

Properties
Mass density, g cm⁻³: 15.18
Formation energy, meV per atom: -35.3
Total energy, eV per atom: -7.493

Lattice parameters (Å, degrees): 5.084 5.084 5.084 134.95 134.95 65.61
Element x y z (fractional)
Ta  0.000  0.000  0.000
B  0.250  0.750  0.500
B  0.750  0.250  0.500
Pt  0.351  0.351  0.000
Pt  0.649  0.649  0.000